Material: MgBi
Method: DFT, PBE
State: relaxed

a b c (Å): 3.7796 3.7796 4.5449
angles (deg): 90.00 90.00 120.00
Fractional positions:
Mg 0.0000 0.0000 0.0000
Bi 0.3333 0.6667 0.5000

M_tot = 0.000 μB/atom
Calculated volume = 56.2 Å³ per cell
Space group = P-6m2, No. 187
E_form = -0.01 eV/atom

---

Material: NbCd3Bi
Method: DFT, PBE
State: relaxed

a b c (Å): 5.6800 5.6800 5.6800
angles (deg): 90.00 90.00 90.00
Fractional positions:
Nb 0.0000 0.0000 0.0000
Cd 0.0000 0.5000 0.5000
Cd 0.5000 0.0000 0.5000
Cd 0.5000 0.5000 0.0000
Bi 0.5000 0.5000 0.5000

M_tot = 0.835 μB/atom
Calculated volume = 183.3 Å³ per cell
Energy relative to the lowest polymorph listed for this composition = 34.03 kJ per mole of atoms
Space group = Pm-3m, No. 221
E_form = 1.30 eV/atom

---

Material: Mn2NiAs
Method: DFT, PBE
State: relaxed

a b c (Å): 3.3657 3.8159 8.2227
angles (deg): 90.00 90.00 90.00
Fractional positions:
Mn 0.0000 0.0000 0.0000
Mn 0.0000 0.5000 0.2372
Mn 0.5000 0.0000 0.7372
Mn 0.5000 0.5000 0.5000
Ni 0.0000 0.5000 0.7514
Ni 0.5000 0.0000 0.2514
As 0.0000 0.0000 0.4779
As 0.5000 0.5000 0.9779

M_tot = 1.686 μB/atom
Calculated volume = 105.6 Å³ per cell
Space group = Imm2, No. 44
E_form = 0.00 eV/atom

---

Material: PrGdYAg
Method: DFT, PBE
State: relaxed

a b c (Å): 7.7185 7.7185 7.7185
angles (deg): 90.00 90.00 90.00
Fractional positions:
Pr 0.0000 0.0000 0.0000
Pr 0.0000 0.5000 0.5000
Pr 0.5000 0.0000 0.5000
Pr 0.5000 0.5000 0.0000
Gd 0.2500 0.2500 0.2500
Gd 0.2500 0.7500 0.7500
Gd 0.7500 0.2500 0.7500
Gd 0.7500 0.7500 0.2500
Y 0.0000 0.0000 0.5000
Y 0.0000 0.5000 0.0000
Y 0.5000 0.0000 0.0000
Y 0.5000 0.5000 0.5000
Ag 0.2500 0.2500 0.7500
Ag 0.2500 0.7500 0.2500
Ag 0.7500 0.2500 0.2500
Ag 0.7500 0.7500 0.7500

M_tot = 2.025 μB/atom
Calculated volume = 459.8 Å³ per cell
Space group = F-43m, No. 216
E_form = 0.06 eV/atom

---

Material: LaInSiMo2
Method: DFT, PBE
State: relaxed

a b c (Å): 4.6795 4.6795 5.3961
angles (deg): 90.00 90.00 90.00
Fractional positions:
La 0.0000 0.0000 0.0000
In 0.5000 0.5000 0.0000
Si 0.0000 0.0000 0.5000
Mo 0.0000 0.5000 0.5000
Mo 0.5000 0.0000 0.5000

M_tot = 0.000 μB/atom
Calculated volume = 118.2 Å³ per cell
Formation energy without anion corrections = 0.6209 eV per atom
Space group = P4/mmm, No. 123

---

Material: CuHg3Te4
Method: DFT, PBE
State: relaxed

a b c (Å): 6.4483 6.4483 12.8900
angles (deg): 90.00 90.00 90.00
Fractional positions:
Cu 0.0000 0.0000 0.0000
Cu 0.5000 0.5000 0.5000
Hg 0.0000 0.0000 0.5000
Hg 0.0000 0.5000 0.2500
Hg 0.0000 0.5000 0.7500
Hg 0.5000 0.0000 0.2500
Hg 0.5000 0.0000 0.7500
Hg 0.5000 0.5000 0.0000
Te 0.2302 0.2302 0.1163
Te 0.2302 0.7698 0.8837
Te 0.2698 0.2698 0.6163
Te 0.2698 0.7302 0.3837
Te 0.7302 0.2698 0.3837
Te 0.7302 0.7302 0.6163
Te 0.7698 0.2302 0.8837
Te 0.7698 0.7698 0.1163

M_tot = 0.000 μB/atom
Calculated volume = 536.0 Å³ per cell
Energy relative to the lowest polymorph listed for this composition = 0.00 kJ per mole of atoms
Formation energy without anion corrections = -0.1225 eV per atom
Space group = I-42m, No. 121

---

Material: LiFe
Method: DFT, PBE
State: relaxed

a b c (Å): 4.7995 4.7995 4.8782
angles (deg): 90.00 90.00 90.00
Fractional positions:
Li 0.1758 0.1758 0.0000
Li 0.3242 0.6758 0.5000
Li 0.6758 0.3242 0.5000
Li 0.8242 0.8242 0.0000
Fe 0.1663 0.1663 0.5000
Fe 0.3337 0.6663 0.0000
Fe 0.6663 0.3337 0.0000
Fe 0.8337 0.8337 0.5000

M_tot = 1.357 μB/atom
Calculated volume = 112.4 Å³ per cell
Space group = P4_2/mnm, No. 136
E_form = 0.77 eV/atom

---

Material: LuSnRh2
Method: DFT, PBE
State: relaxed

a b c (Å): 4.5169 4.5169 3.4908
angles (deg): 90.00 90.00 90.00
Fractional positions:
Lu 0.0000 0.0000 0.0000
Sn 0.5000 0.5000 0.0000
Rh 0.0000 0.5000 0.5000
Rh 0.5000 0.0000 0.5000

M_tot = 0.000 μB/atom
Calculated volume = 71.2 Å³ per cell
Space group = P4/mmm, No. 123
E_form = -0.84 eV/atom

---

Material: RbAg2TeCl8
Method: DFT, PBE
State: relaxed

a b c (Å): 6.5913 6.6102 9.2732
angles (deg): 73.73 77.34 88.84
Fractional positions:
Rb 0.0000 0.0000 0.0000
Ag 0.3727 0.4793 0.2058
Ag 0.6273 0.5207 0.7942
Te 0.0000 0.0000 0.5000
Cl 0.0755 0.7293 0.7373
Cl 0.1946 0.7773 0.3294
Cl 0.3341 0.2201 0.4685
Cl 0.4988 0.7671 0.9689
Cl 0.5012 0.2329 0.0311
Cl 0.6659 0.7799 0.5315
Cl 0.8054 0.2227 0.6706
Cl 0.9245 0.2707 0.2627

M_tot = 0.000 μB/atom
Calculated volume = 378.1 Å³ per cell
Formation energy without anion corrections = -0.7215 eV per atom
Space group = P-1, No. 2

---

Material: KPd5Pb12
Method: DFT, PBE
State: relaxed

a b c (Å): 8.5751 8.5751 8.5751
angles (deg): 115.44 114.98 98.51
Fractional positions:
K 0.0000 0.0000 0.0000
Pd 0.1277 0.6277 0.5000
Pd 0.5000 0.1671 0.6671
Pd 0.5000 0.5000 0.0000
Pd 0.5000 0.8329 0.3329
Pd 0.8723 0.3723 0.5000
Pb 0.1364 0.8265 0.3099
Pb 0.2263 0.3242 0.5505
Pb 0.2263 0.6758 0.9020
Pb 0.2663 0.0700 0.8038
Pb 0.2663 0.4625 0.1962
Pb 0.4833 0.1735 0.3099
Pb 0.5167 0.8265 0.6901
Pb 0.7337 0.5375 0.8038
Pb 0.7337 0.9300 0.1962
Pb 0.7737 0.3242 0.0980
Pb 0.7737 0.6758 0.4495
Pb 0.8636 0.1735 0.6901

M_tot = 0.000 μB/atom
Calculated volume = 472.4 Å³ per cell
Space group = Immm, No. 71
E_form = -0.16 eV/atom

---

Material: NbTc3Ru
Method: DFT, PBE
State: relaxed

a b c (Å): 4.5836 4.5836 4.5836
angles (deg): 90.00 90.00 90.00
Fractional positions:
Nb 0.0000 0.0000 0.0000
Tc 0.0000 0.5000 0.5000
Tc 0.5000 0.0000 0.5000
Tc 0.5000 0.5000 0.0000
Ru 0.5000 0.5000 0.5000

M_tot = 0.000 μB/atom
Calculated volume = 96.3 Å³ per cell
Energy relative to the lowest polymorph listed for this composition = 0.00 kJ per mole of atoms
Space group = Pm-3m, No. 221
E_form = 1.59 eV/atom

---

Material: MnTcRh2
Method: DFT, PBE
State: relaxed

a b c (Å): 8.9251 2.7244 4.6766
angles (deg): 90.00 100.75 90.00
Fractional positions:
Mn 0.0000 0.0000 0.0000
Mn 0.5000 0.5000 0.0000
Tc 0.2521 0.0000 0.7298
Tc 0.7521 0.5000 0.7298
Rh 0.0014 0.5000 0.5055
Rh 0.2488 0.5000 0.2272
Rh 0.5014 0.0000 0.5055
Rh 0.7488 0.0000 0.2272

M_tot = 0.632 μB/atom
Calculated volume = 111.7 Å³ per cell
Energy relative to the lowest polymorph listed for this composition = 5.33 kJ per mole of atoms
Space group = Cm, No. 8
E_form = -0.05 eV/atom